K3NaTe6Pd2 | OQMD | PBE | optimized geometry; VASP energy = -3.386 eV/atom
1.0
3.761 -6.521 0.000
3.761 6.521 0.000
-2.566 0.000 7.956
K Na Te Pd
3 1 6 2
direct
0.000 0.000 0.000
0.346 0.654 0.000
0.654 0.346 0.000
0.500 0.500 0.500
0.059 0.440 0.321
0.185 0.185 0.677
0.440 0.059 0.321
0.560 0.941 0.679
0.815 0.815 0.323
0.941 0.560 0.679
0.167 0.833 0.500
0.833 0.167 0.500

KNaPm | OQMD | PBE | optimized geometry; distance to the lowest polymorph of the same formula = 0 meV per atom; total moment = 0.73 μB per formula unit
1.0
0.000 4.230 4.230
4.230 0.000 4.230
4.230 4.230 0.000
K Na Pm
1 1 1
direct
0.000 0.000 0.000
0.500 0.500 0.500
0.250 0.250 0.250

KNaPr | OQMD | PBE | optimized geometry; distance to the lowest polymorph of the same formula = 0 meV per atom; total moment = 1.06 μB per formula unit
1.0
0.000 4.254 4.254
4.254 0.000 4.254
4.254 4.254 0.000
K Na Pr
1 1 1
direct
0.000 0.000 0.000
0.500 0.500 0.500
0.250 0.250 0.250

KNaPt | OQMD | PBE | optimized geometry; distance to the lowest polymorph of the same formula = 0 meV per atom; total moment = 0.00 μB per formula unit
1.0
0.000 3.603 3.603
3.603 0.000 3.603
3.603 3.603 0.000
K Na Pt
1 1 1
direct
0.000 0.000 0.000
0.500 0.500 0.500
0.250 0.250 0.250

KNaPt | OQMD | PBE | optimized geometry; distance to the lowest polymorph of the same formula = 299 meV per atom; total moment = 0.00 μB per formula unit
1.0
0.000 3.567 3.567
3.567 0.000 3.567
3.567 3.567 0.000
K Na Pt
1 1 1
direct
0.000 0.000 0.000
0.750 0.750 0.750
0.250 0.250 0.250

KNaTePt | OQMD | PBE | optimized geometry; distance to the lowest polymorph of the same formula = 10 meV per atom; total moment = 0.00 μB per formula unit
1.0
0.000 3.603 3.603
3.603 0.000 3.603
3.603 3.603 0.000
K Na Te Pt
1 1 1 1
direct
0.000 0.000 0.000
0.250 0.250 0.250
0.750 0.750 0.750
0.500 0.500 0.500

KNaTePt | OQMD | PBE | optimized geometry; distance to the lowest polymorph of the same formula = 0 meV per atom; total moment = 0.00 μB per formula unit
1.0
0.000 3.603 3.603
3.603 0.000 3.603
3.603 3.603 0.000
K Na Te Pt
1 1 1 1
direct
0.000 0.000 0.000
0.750 0.750 0.750
0.500 0.500 0.500
0.250 0.250 0.250

KNaTePt | OQMD | PBE | optimized geometry; distance to the lowest polymorph of the same formula = 227 meV per atom; total moment = 0.04 μB per formula unit
1.0
0.000 3.735 3.735
3.735 0.000 3.735
3.735 3.735 0.000
K Na Te Pt
1 1 1 1
direct
0.000 0.000 0.000
0.500 0.500 0.500
0.250 0.250 0.250
0.750 0.750 0.750

KNaTl4Pt2 | OQMD | PBE | optimized geometry; VASP energy = -3.171 eV/atom; total moment = 0.01 μB per formula unit
1.0
8.376 0.000 0.000
0.000 2.199 5.713
0.000 -2.199 5.713
K Na Tl Pt
1 1 4 2
direct
0.000 0.000 0.000
0.500 0.877 0.877
0.206 0.294 0.294
0.303 0.585 0.585
0.697 0.585 0.585
0.794 0.294 0.294
0.000 0.720 0.720
0.500 0.158 0.158

KNaPtW | OQMD | PBE | optimized geometry; distance to the lowest polymorph of the same formula = 484 meV per atom; total moment = 4.30 μB per formula unit
1.0
0.000 3.602 3.602
3.602 0.000 3.602
3.602 3.602 0.000
K Na Pt W
1 1 1 1
direct
0.000 0.000 0.000
0.500 0.500 0.500
0.750 0.750 0.750
0.250 0.250 0.250